(1)
! Pm2ZnCu3Ni12 (PBE, relaxed); values from VASP
&SYSTEM
  ibrav = 0, nat = 18, ntyp = 4
/
ATOMIC_SPECIES
Ni 58.69 Ni.upf
Cu 63.55 Cu.upf
Pm 145.00 Pm.upf
Zn 65.41 Zn.upf
CELL_PARAMETERS angstrom
9.043 1.823 1.293
6.051 6.964 1.293
6.051 3.522 6.145
ATOMIC_POSITIONS angstrom
Ni 4.944 2.878 4.158
Ni 8.721 6.419 4.553
Cu 4.522 0.911 0.646
Ni 6.682 1.891 1.341
Cu 3.025 1.761 3.072
Ni 9.889 4.413 4.553
Pm 7.379 4.295 3.047
Cu 3.025 3.482 0.646
Zn 0.000 0.000 0.000
Ni 11.257 6.552 6.070
Ni 9.889 5.756 2.660
Ni 4.944 4.876 1.341
Ni 11.257 7.895 4.177
Ni 14.464 10.417 7.389
Pm 13.766 8.013 5.683
Ni 16.201 9.430 4.572
Ni 12.424 5.889 4.177
Ni 16.201 7.432 7.389
! N(E_F)   1.419 states/eV per atom
! ΔH_f (0 K)   0.22 eV per atom
! Total magnetization   0.0 Bohr magnetons per cell

---

(2)
! Pm2Zn12Cu3Ni (PBE, relaxed); values from VASP
&SYSTEM
  ibrav = 0, nat = 18, ntyp = 4
/
ATOMIC_SPECIES
Zn 65.41 Zn.upf
Cu 63.55 Cu.upf
Ni 58.69 Ni.upf
Pm 145.00 Pm.upf
CELL_PARAMETERS angstrom
2.701 -7.897 7.822
7.709 -6.689 5.165
5.741 -3.207 9.360
ATOMIC_POSITIONS angstrom
Zn 5.663 -5.311 5.005
Zn 11.500 -14.274 15.183
Zn 7.067 -9.190 9.140
Zn 7.715 -10.716 12.514
Cu 2.870 -1.604 4.680
Zn 10.488 -12.483 17.342
Zn 8.436 -7.078 9.833
Zn 9.084 -8.604 13.206
Cu 1.351 -3.949 3.911
Ni 0.000 0.000 0.000
Cu 3.854 -3.345 2.582
Zn 4.650 -3.520 7.164
Zn 13.064 -11.861 15.974
Zn 6.181 -7.622 11.029
Pm 10.358 -11.411 14.331
Pm 5.793 -6.383 8.016
Zn 3.087 -5.933 6.372
Zn 9.970 -10.172 11.317
! N(E_F)   0.606 states/eV per atom
! ΔH_f (0 K)   -0.02 eV per atom
! Total magnetization   0.0 Bohr magnetons per cell

---

(3)
! Pr5Cu5Ni2 (PBE, relaxed); values from VASP
&SYSTEM
  ibrav = 0, nat = 12, ntyp = 3
/
ATOMIC_SPECIES
Pr 140.91 Pr.upf
Cu 63.55 Cu.upf
Ni 58.69 Ni.upf
CELL_PARAMETERS angstrom
-3.081 -2.566 0.552
2.160 -4.434 6.286
-5.190 4.230 5.528
ATOMIC_POSITIONS angstrom
Pr -0.736 -1.754 2.576
Cu -6.536 -0.219 7.011
Ni -4.141 0.168 7.340
Cu 0.425 -2.550 5.356
Pr -5.261 0.929 4.625
Pr -0.850 -3.698 7.741
Pr -1.515 -0.102 5.907
Ni -1.970 -2.937 5.026
Cu -2.612 -1.394 8.616
Cu -3.499 -1.375 3.750
Cu 0.000 0.000 0.000
Pr -5.375 -1.015 9.790
! N(E_F)   0.665 states/eV per atom
! ΔH_f (0 K)   -0.19 eV per atom
! Total magnetization   0.0 Bohr magnetons per cell

---

(4)
! Pr2CuNi (PBE, relaxed); values from VASP
&SYSTEM
  ibrav = 0, nat = 8, ntyp = 3
/
ATOMIC_SPECIES
Pr 140.91 Pr.upf
Cu 63.55 Cu.upf
Ni 58.69 Ni.upf
CELL_PARAMETERS angstrom
-2.371 -2.668 -2.718
-0.631 -3.791 4.271
-5.848 5.040 0.156
ATOMIC_POSITIONS angstrom
Pr -7.383 1.875 -0.952
Cu -5.009 1.586 0.963
Pr -4.427 -0.704 -1.000
Pr -4.423 -0.714 2.708
Pr -1.467 -3.293 2.660
Ni -6.741 -0.423 0.742
Ni -2.109 -0.995 0.966
Cu -3.841 -3.004 0.745
! N(E_F)   0.939 states/eV per atom
! ΔH_f (0 K)   -0.23 eV per atom
! Total magnetization   0.0 Bohr magnetons per cell